# K2GePdCl6, optimized geometry, DFT PBE
# * calculated total energy: -3.45 eV/atom
data_K2GePdCl6
_chemical_formula_sum 'K8 Ge4 Pd4 Cl24'
_cell_length_a 10.062
_cell_length_b 10.062
_cell_length_c 10.062
_cell_angle_alpha 90.00
_cell_angle_beta 90.00
_cell_angle_gamma 90.00
_symmetry_space_group_name_H-M 'F m -3 m'
_symmetry_Int_Tables_number 225
_symmetry_space_group_name_Hall '-F 4 2 3'
loop_
_atom_site_label
_atom_site_fract_x
_atom_site_fract_y
_atom_site_fract_z
K1 0.250 0.250 0.250
Ge1 0.000 0.000 0.000
Pd1 0.000 0.000 0.500
Cl1 0.000 0.000 0.250